(1)
The following is a DFT calculation (PBE) of a relaxed structure of NdSm2HfAs4.

## Properties
Energy of formation from the pure elements ... -1.368 eV per atom
Theoretical density ... 7.730 g/cm³
Magnetization ... 0.000 μB per formula unit
DOS at the Fermi energy ... 1.442 states/eV/f.u.

Structure (CIF):
```
data_NdSm2HfAs4
_space_group_name_H-M_alt 'P 1'
_space_group_IT_number 1
_cell_length_a 7.137
_cell_length_b 4.119
_cell_length_c 7.144
_cell_angle_alpha 90.00
_cell_angle_beta 109.23
_cell_angle_gamma 90.00
loop_
_space_group_symop_operation_xyz
'x,y,z'
loop_
_atom_site_label
_atom_site_fract_x
_atom_site_fract_y
_atom_site_fract_z
Nd1 0.000 0.000 0.000
Sm1 0.500 0.000 0.500
Sm2 0.500 0.500 0.000
Hf1 0.000 0.500 0.500
As1 0.233 0.000 0.731
As2 0.243 0.500 0.262
As3 0.757 0.500 0.738
As4 0.767 0.000 0.269
```

***

(2)
The following is a DFT calculation (PBE) of a relaxed structure of Ti2AlPd.

## Properties
Energy of formation from the pure elements ... -0.502 eV per atom
Theoretical density ... 6.049 g/cm³
Magnetization ... 0.273 μB per formula unit
DOS at the Fermi energy ... 4.438 states/eV/f.u.

Structure (CIF):
```
data_Ti2AlPd
_space_group_name_H-M_alt 'P 1'
_space_group_IT_number 1
_cell_length_a 3.860
_cell_length_b 3.860
_cell_length_c 4.221
_cell_angle_alpha 90.00
_cell_angle_beta 90.00
_cell_angle_gamma 90.00
loop_
_space_group_symop_operation_xyz
'x,y,z'
loop_
_atom_site_label
_atom_site_fract_x
_atom_site_fract_y
_atom_site_fract_z
Ti1 0.000 0.500 0.000
Ti2 0.500 0.000 0.000
Al1 0.000 0.000 0.500
Pd1 0.500 0.500 0.500
```

***

(3)
The following is a DFT calculation (PBE) of a relaxed structure of RbNb2Sn2.

## Properties
Energy of formation from the pure elements ... 0.213 eV per atom
Theoretical density ... 6.826 g/cm³
Magnetization ... 0.000 μB per formula unit
DOS at the Fermi energy ... 4.538 states/eV/f.u.
E above lowest polymorph ... 0.0 kJ/mol of formula units

Structure (CIF):
```
data_RbNb2Sn2
_space_group_name_H-M_alt 'P 1'
_space_group_IT_number 1
_cell_length_a 9.087
_cell_length_b 9.087
_cell_length_c 2.997
_cell_angle_alpha 90.00
_cell_angle_beta 90.00
_cell_angle_gamma 90.00
loop_
_space_group_symop_operation_xyz
'x,y,z'
loop_
_atom_site_label
_atom_site_fract_x
_atom_site_fract_y
_atom_site_fract_z
Rb1 0.000 0.000 0.000
Rb2 0.500 0.500 0.000
Nb1 0.107 0.393 0.500
Nb2 0.393 0.893 0.500
Nb3 0.607 0.107 0.500
Nb4 0.893 0.607 0.500
Sn1 0.175 0.675 0.000
Sn2 0.325 0.175 0.000
Sn3 0.675 0.825 0.000
Sn4 0.825 0.325 0.000
```

***

(4)
The following is a DFT calculation (PBE) of a relaxed structure of Be4As.

## Properties
Energy of formation from the pure elements ... 0.864 eV per atom
Theoretical density ... 2.728 g/cm³
Magnetization ... 0.000 μB per formula unit
DOS at the Fermi energy ... 1.205 states/eV/f.u.
E above lowest polymorph ... 232.9 kJ/mol of formula units

Structure (CIF):
```
data_Be4As
_space_group_name_H-M_alt 'P 1'
_space_group_IT_number 1
_cell_length_a 4.444
_cell_length_b 4.444
_cell_length_c 4.444
_cell_angle_alpha 109.47
_cell_angle_beta 109.47
_cell_angle_gamma 109.47
loop_
_space_group_symop_operation_xyz
'x,y,z'
loop_
_atom_site_label
_atom_site_fract_x
_atom_site_fract_y
_atom_site_fract_z
Be1 0.000 0.000 0.500
Be2 0.000 0.500 0.000
Be3 0.500 0.000 0.000
Be4 0.500 0.500 0.500
As1 0.000 0.000 0.000
```

***

(5)
The following is a DFT calculation (PBE) of a relaxed structure of NaNdPb4.

## Properties
Energy of formation from the pure elements ... -0.166 eV per atom
Theoretical density ... 8.558 g/cm³
Magnetization ... 0.000 μB per formula unit
DOS at the Fermi energy ... 0.068 states/eV/f.u.

Structure (CIF):
```
data_NaNdPb4
_space_group_name_H-M_alt 'P 1'
_space_group_IT_number 1
_cell_length_a 6.490
_cell_length_b 6.490
_cell_length_c 6.490
_cell_angle_alpha 60.00
_cell_angle_beta 60.00
_cell_angle_gamma 60.00
loop_
_space_group_symop_operation_xyz
'x,y,z'
loop_
_atom_site_label
_atom_site_fract_x
_atom_site_fract_y
_atom_site_fract_z
Na1 0.000 0.000 0.000
Nd1 0.750 0.750 0.750
Pb1 0.376 0.376 0.376
Pb2 0.376 0.376 0.873
Pb3 0.376 0.873 0.376
Pb4 0.873 0.376 0.376
```

***

(6)
The following is a DFT calculation (PBE) of a relaxed structure of LuZnPd.

## Properties
Energy of formation from the pure elements ... -0.681 eV per atom
Theoretical density ... 9.987 g/cm³
Magnetization ... 0.000 μB per formula unit
DOS at the Fermi energy ... 1.481 states/eV/f.u.
E above lowest polymorph ... 23.7 kJ/mol of formula units

Structure (CIF):
```
data_LuZnPd
_space_group_name_H-M_alt 'P 1'
_space_group_IT_number 1
_cell_length_a 4.426
_cell_length_b 4.426
_cell_length_c 3.399
_cell_angle_alpha 90.00
_cell_angle_beta 90.00
_cell_angle_gamma 120.00
loop_
_space_group_symop_operation_xyz
'x,y,z'
loop_
_atom_site_label
_atom_site_fract_x
_atom_site_fract_y
_atom_site_fract_z
Lu1 0.000 0.000 0.000
Zn1 0.333 0.667 0.500
Pd1 0.667 0.333 0.500
```

***

(7)
The following is a DFT calculation (PBE) of a relaxed structure of Li2HoAl.

## Properties
Energy of formation from the pure elements ... -0.161 eV per atom
Theoretical density ... 4.565 g/cm³
Magnetization ... 0.000 μB per formula unit
DOS at the Fermi energy ... 1.770 states/eV/f.u.

Structure (CIF):
```
data_Li2HoAl
_space_group_name_H-M_alt 'P 1'
_space_group_IT_number 1
_cell_length_a 4.731
_cell_length_b 4.731
_cell_length_c 4.731
_cell_angle_alpha 60.00
_cell_angle_beta 60.00
_cell_angle_gamma 60.00
loop_
_space_group_symop_operation_xyz
'x,y,z'
loop_
_atom_site_label
_atom_site_fract_x
_atom_site_fract_y
_atom_site_fract_z
Li1 0.250 0.250 0.250
Li2 0.750 0.750 0.750
Ho1 0.000 0.000 0.000
Al1 0.500 0.500 0.500
```

***

(8)
The following is a DFT calculation (PBE) of a relaxed structure of Rb3Tm3BiSe8.

## Properties
Total energy ... -69.33 eV/cell
Theoretical density ... 5.469 g/cm³
Magnetization ... 0.000 μB per formula unit
DOS at the Fermi energy ... 6.678 states/eV/f.u.

Structure (CIF):
```
data_Rb3Tm3BiSe8
_space_group_name_H-M_alt 'P 1'
_space_group_IT_number 1
_cell_length_a 8.303
_cell_length_b 8.303
_cell_length_c 9.469
_cell_angle_alpha 116.08
_cell_angle_beta 116.08
_cell_angle_gamma 59.95
loop_
_space_group_symop_operation_xyz
'x,y,z'
loop_
_atom_site_label
_atom_site_fract_x
_atom_site_fract_y
_atom_site_fract_z
Rb1 0.000 0.000 0.000
Rb2 0.000 0.500 0.000
Rb3 0.500 0.000 0.000
Tm1 0.000 0.500 0.500
Tm2 0.500 0.000 0.500
Tm3 0.500 0.500 0.500
Bi1 0.000 0.000 0.500
Se1 0.236 0.236 0.695
Se2 0.236 0.724 0.695
Se3 0.269 0.269 0.308
Se4 0.276 0.764 0.305
Se5 0.724 0.236 0.695
Se6 0.731 0.731 0.692
Se7 0.764 0.276 0.305
Se8 0.764 0.764 0.305
```

***

(9)
The following is a DFT calculation (PBE) of a relaxed structure of SrRu2Pt.

## Properties
Energy of formation from the pure elements ... 0.522 eV per atom
Theoretical density ... 11.145 g/cm³
Magnetization ... 1.658 μB per formula unit
DOS at the Fermi energy ... 4.959 states/eV/f.u.
E above lowest polymorph ... 173.0 kJ/mol of formula units

Structure (CIF):
```
data_SrRu2Pt
_space_group_name_H-M_alt 'P 1'
_space_group_IT_number 1
_cell_length_a 2.890
_cell_length_b 4.946
_cell_length_c 5.054
_cell_angle_alpha 90.00
_cell_angle_beta 90.00
_cell_angle_gamma 90.00
loop_
_space_group_symop_operation_xyz
'x,y,z'
loop_
_atom_site_label
_atom_site_fract_x
_atom_site_fract_y
_atom_site_fract_z
Sr1 0.000 0.000 0.000
Ru1 0.000 0.500 0.500
Ru2 0.500 0.000 0.500
Pt1 0.500 0.500 0.000
```

***

(10)
The following is a DFT calculation (PBE) of a relaxed structure of ZnCoMoRh.

## Properties
Energy of formation from the pure elements ... -0.031 eV per atom
Theoretical density ... 9.723 g/cm³
Magnetization ... 2.024 μB per formula unit
DOS at the Fermi energy ... 1.388 states/eV/f.u.

Structure (CIF):
```
data_ZnCoMoRh
_space_group_name_H-M_alt 'P 1'
_space_group_IT_number 1
_cell_length_a 4.274
_cell_length_b 4.274
_cell_length_c 4.274
_cell_angle_alpha 60.00
_cell_angle_beta 60.00
_cell_angle_gamma 60.00
loop_
_space_group_symop_operation_xyz
'x,y,z'
loop_
_atom_site_label
_atom_site_fract_x
_atom_site_fract_y
_atom_site_fract_z
Zn1 0.000 0.000 0.000
Co1 0.250 0.250 0.250
Mo1 0.500 0.500 0.500
Rh1 0.750 0.750 0.750
```

***

(11)
The following is a DFT calculation (PBE) of a relaxed structure of Tb8SmTl2.

## Properties
Energy of formation from the pure elements ... -0.084 eV per atom
Theoretical density ... 9.140 g/cm³
Magnetization ... 0.000 μB per formula unit
DOS at the Fermi energy ... 12.255 states/eV/f.u.
E above lowest polymorph ... 0.0 kJ/mol of formula units

Structure (CIF):
```
data_Tb8SmTl2
_space_group_name_H-M_alt 'P 1'
_space_group_IT_number 1
_cell_length_a 5.994
_cell_length_b 7.839
_cell_length_c 7.929
_cell_angle_alpha 105.99
_cell_angle_beta 99.20
_cell_angle_gamma 106.14
loop_
_space_group_symop_operation_xyz
'x,y,z'
loop_
_atom_site_label
_atom_site_fract_x
_atom_site_fract_y
_atom_site_fract_z
Tb1 0.050 0.186 0.410
Tb2 0.129 0.537 0.231
Tb3 0.237 0.920 0.061
Tb4 0.316 0.277 0.878
Tb5 0.684 0.723 0.122
Tb6 0.763 0.080 0.939
Tb7 0.871 0.463 0.769
Tb8 0.950 0.814 0.590
Sm1 0.500 0.000 0.500
Tl1 0.403 0.636 0.683
Tl2 0.597 0.364 0.317
```

***

(12)
The following is a DFT calculation (PBE) of a relaxed structure of RbZr2Ni.

## Properties
Energy of formation from the pure elements ... 1.068 eV per atom
Theoretical density ... 3.794 g/cm³
Magnetization ... 0.000 μB per formula unit
DOS at the Fermi energy ... 6.161 states/eV/f.u.
E above lowest polymorph ... 28.5 kJ/mol of formula units

Structure (CIF):
```
data_RbZr2Ni
_space_group_name_H-M_alt 'P 1'
_space_group_IT_number 1
_cell_length_a 8.926
_cell_length_b 8.926
_cell_length_c 8.926
_cell_angle_alpha 140.45
_cell_angle_beta 140.45
_cell_angle_gamma 57.17
loop_
_space_group_symop_operation_xyz
'x,y,z'
loop_
_atom_site_label
_atom_site_fract_x
_atom_site_fract_y
_atom_site_fract_z
Rb1 0.375 0.625 0.750
Rb2 0.625 0.375 0.250
Zr1 0.000 0.000 0.000
Zr2 0.000 0.000 0.500
Zr3 0.000 0.500 0.000
Zr4 0.500 0.000 0.500
Ni1 0.125 0.875 0.250
Ni2 0.875 0.125 0.750
```

***

What did the ninth record say?
The following is a DFT calculation (PBE) of a relaxed structure of SrRu2Pt.

## Properties
Energy of formation from the pure elements ... 0.522 eV per atom
Theoretical density ... 11.145 g/cm³
Magnetization ... 1.658 μB per formula unit
DOS at the Fermi energy ... 4.959 states/eV/f.u.
E above lowest polymorph ... 173.0 kJ/mol of formula units

Structure (CIF):
```
data_SrRu2Pt
_space_group_name_H-M_alt 'P 1'
_space_group_IT_number 1
_cell_length_a 2.890
_cell_length_b 4.946
_cell_length_c 5.054
_cell_angle_alpha 90.00
_cell_angle_beta 90.00
_cell_angle_gamma 90.00
loop_
_space_group_symop_operation_xyz
'x,y,z'
loop_
_atom_site_label
_atom_site_fract_x
_atom_site_fract_y
_atom_site_fract_z
Sr1 0.000 0.000 0.000
Ru1 0.000 0.500 0.500
Ru2 0.500 0.000 0.500
Pt1 0.500 0.500 0.000
```